<P>
Here is a relaxed structure of ZrTlCl2 from the Alexandria database. Energies are from PBE-GGA.

* magnetic moment: 0.00 μB per cell

The structure in CIF format:
```
data_ZrTlCl2
_chemical_formula_sum 'Zr1 Tl1 Cl2'
_cell_length_a 5.469
_cell_length_b 5.469
_cell_length_c 3.247
_cell_angle_alpha 90.00
_cell_angle_beta 90.00
_cell_angle_gamma 108.44
_space_group_name_H-M_alt 'P 1'
_space_group_IT_number 1
loop_
_space_group_symop_operation_xyz
'x,y,z'
loop_
_atom_site_label
_atom_site_type_symbol
_atom_site_fract_x
_atom_site_fract_y
_atom_site_fract_z
Zr1 Zr 0.000 0.500 0.500
Cl1 Cl 0.500 0.500 0.000
Cl2 Cl 0.000 0.000 0.000
Tl1 Tl 0.500 0.000 0.500
```

***

<Q>
Here is a relaxed structure of ZrTlCl2 from the Alexandria database. Energies are from PBE-GGA.

* magnetic moment: 0.00 μB per cell

The structure in CIF format:
```
data_ZrTlCl2
_chemical_formula_sum 'Zr1 Tl1 Cl2'
_cell_length_a 4.550
_cell_length_b 4.477
_cell_length_c 4.477
_cell_angle_alpha 90.00
_cell_angle_beta 90.00
_cell_angle_gamma 90.00
_space_group_name_H-M_alt 'P 1'
_space_group_IT_number 1
loop_
_space_group_symop_operation_xyz
'x,y,z'
loop_
_atom_site_label
_atom_site_type_symbol
_atom_site_fract_x
_atom_site_fract_y
_atom_site_fract_z
Zr1 Zr 0.500 0.000 0.500
Cl1 Cl 0.000 0.500 0.500
Cl2 Cl 0.000 0.000 0.000
Tl1 Tl 0.500 0.500 0.000
```

***

Result of the stability comparison: <Q> is the least stable of them.

***

<P>
Here is a relaxed structure of Y3Se from the Alexandria database. Energies are from PBE-GGA.

* magnetic moment: 0.00 μB per cell

The structure in CIF format:
```
data_Y3Se
_chemical_formula_sum 'Y3 Se1'
_cell_length_a 3.767
_cell_length_b 6.220
_cell_length_c 6.283
_cell_angle_alpha 55.51
_cell_angle_beta 90.00
_cell_angle_gamma 90.00
_space_group_name_H-M_alt 'P 1'
_space_group_IT_number 1
loop_
_space_group_symop_operation_xyz
'x,y,z'
loop_
_atom_site_label
_atom_site_type_symbol
_atom_site_fract_x
_atom_site_fract_y
_atom_site_fract_z
Y1 Y 0.500 0.816 0.811
Y2 Y 0.500 0.184 0.189
Y3 Y 0.000 0.500 0.500
Se1 Se 0.000 0.000 0.000
```

***

<Q>
Here is a relaxed structure of Y3Se from the Alexandria database. Energies are from PBE-GGA.

* magnetic moment: 0.25 μB per cell

The structure in CIF format:
```
data_Y3Se
_chemical_formula_sum 'Y6 Se2'
_cell_length_a 6.717
_cell_length_b 6.717
_cell_length_c 5.418
_cell_angle_alpha 90.00
_cell_angle_beta 90.00
_cell_angle_gamma 120.00
_space_group_name_H-M_alt 'P 1'
_space_group_IT_number 1
loop_
_space_group_symop_operation_xyz
'x,y,z'
loop_
_atom_site_label
_atom_site_type_symbol
_atom_site_fract_x
_atom_site_fract_y
_atom_site_fract_z
Se1 Se 0.667 0.333 0.750
Se2 Se 0.333 0.667 0.250
Y1 Y 0.339 0.170 0.250
Y2 Y 0.661 0.830 0.750
Y3 Y 0.170 0.830 0.750
Y4 Y 0.830 0.170 0.250
Y5 Y 0.170 0.339 0.750
Y6 Y 0.830 0.661 0.250
```

***

Result of the stability comparison: <Q> is the least stable of them.

***

<P>
Here is a relaxed structure of RbSrTa from the Alexandria database. Energies are from PBE-GGA.

* magnetic moment: 0.00 μB per cell

The structure in CIF format:
```
data_RbSrTa
_chemical_formula_sum 'Rb2 Sr2 Ta2'
_cell_length_a 11.250
_cell_length_b 6.008
_cell_length_c 6.008
_cell_angle_alpha 119.92
_cell_angle_beta 122.26
_cell_angle_gamma 57.74
_space_group_name_H-M_alt 'P 1'
_space_group_IT_number 1
loop_
_space_group_symop_operation_xyz
'x,y,z'
loop_
_atom_site_label
_atom_site_type_symbol
_atom_site_fract_x
_atom_site_fract_y
_atom_site_fract_z
Rb1 Rb 0.891 0.905 0.095
Rb2 Rb 0.109 0.095 0.905
Ta1 Ta 0.627 0.414 0.586
Ta2 Ta 0.373 0.586 0.414
Sr1 Sr 0.579 0.781 0.219
Sr2 Sr 0.421 0.219 0.781
```

***

<Q>
Here is a relaxed structure of RbSrTa from the Alexandria database. Energies are from PBE-GGA.

* magnetic moment: 0.00 μB per cell

The structure in CIF format:
```
data_RbSrTa
_chemical_formula_sum 'Rb2 Sr2 Ta2'
_cell_length_a 6.125
_cell_length_b 6.125
_cell_length_c 8.786
_cell_angle_alpha 90.00
_cell_angle_beta 90.00
_cell_angle_gamma 120.00
_space_group_name_H-M_alt 'P 1'
_space_group_IT_number 1
loop_
_space_group_symop_operation_xyz
'x,y,z'
loop_
_atom_site_label
_atom_site_type_symbol
_atom_site_fract_x
_atom_site_fract_y
_atom_site_fract_z
Sr1 Sr 0.333 0.667 0.287
Sr2 Sr 0.333 0.667 0.713
Ta1 Ta 0.000 0.000 0.629
Ta2 Ta 0.000 0.000 0.371
Rb1 Rb 0.667 0.333 0.000
Rb2 Rb 0.667 0.333 0.500
```

***

Result of the stability comparison: <Q> is the least stable of them.

***

<P>
Here is a relaxed structure of B5C7 from the Alexandria database. Energies are from PBE-GGA.

* magnetic moment: 0.00 μB per cell

The structure in CIF format:
```
data_B5C7
_chemical_formula_sum 'B5 C7'
_cell_length_a 4.438
_cell_length_b 4.438
_cell_length_c 8.256
_cell_angle_alpha 118.30
_cell_angle_beta 118.30
_cell_angle_gamma 32.92
_space_group_name_H-M_alt 'P 1'
_space_group_IT_number 1
loop_
_space_group_symop_operation_xyz
'x,y,z'
loop_
_atom_site_label
_atom_site_type_symbol
_atom_site_fract_x
_atom_site_fract_y
_atom_site_fract_z
B1 B 0.160 0.160 0.233
B2 B 0.306 0.306 0.141
B3 B 0.478 0.478 0.381
B4 B 0.858 0.858 0.018
B5 B 0.335 0.335 0.680
C1 C 0.675 0.675 0.818
C2 C 0.653 0.653 0.351
C3 C 0.045 0.045 0.992
C4 C 0.159 0.159 0.706
C5 C 0.523 0.523 0.875
C6 C 0.987 0.987 0.519
C7 C 0.821 0.821 0.535
```

***

<Q>
Here is a relaxed structure of B5C7 from the Alexandria database. Energies are from PBE-GGA.

* magnetic moment: 0.00 μB per cell

The structure in CIF format:
```
data_B5C7
_chemical_formula_sum 'B5 C7'
_cell_length_a 2.617
_cell_length_b 4.612
_cell_length_c 6.660
_cell_angle_alpha 90.45
_cell_angle_beta 90.00
_cell_angle_gamma 90.00
_space_group_name_H-M_alt 'P 1'
_space_group_IT_number 1
loop_
_space_group_symop_operation_xyz
'x,y,z'
loop_
_atom_site_label
_atom_site_type_symbol
_atom_site_fract_x
_atom_site_fract_y
_atom_site_fract_z
C1 C 0.000 0.327 0.356
C2 C 0.500 0.167 0.902
C3 C 0.500 0.839 0.588
C4 C 0.000 0.315 0.588
C5 C 0.500 0.155 0.665
C6 C 0.000 0.014 0.983
C7 C 0.000 0.687 0.928
B1 B 0.500 0.829 0.356
B2 B 0.000 0.031 0.221
B3 B 0.000 0.652 0.675
B4 B 0.500 0.469 0.289
B5 B 0.500 0.515 0.950
```

***

Result of the stability comparison: <Q> is the least stable of them.

***

<P>
Here is a relaxed structure of K2Ta from the Alexandria database. Energies are from PBE-GGA.

* magnetic moment: 0.00 μB per cell

The structure in CIF format:
```
data_K2Ta
_chemical_formula_sum 'K8 Ta4'
_cell_length_a 6.815
_cell_length_b 3.268
_cell_length_c 22.284
_cell_angle_alpha 90.00
_cell_angle_beta 90.00
_cell_angle_gamma 90.00
_space_group_name_H-M_alt 'P 1'
_space_group_IT_number 1
loop_
_space_group_symop_operation_xyz
'x,y,z'
loop_
_atom_site_label
_atom_site_type_symbol
_atom_site_fract_x
_atom_site_fract_y
_atom_site_fract_z
K1 K 0.750 0.750 0.553
K2 K 0.250 0.750 0.669
K3 K 0.750 0.250 0.331
K4 K 0.750 0.750 0.169
K5 K 0.250 0.250 0.831
K6 K 0.250 0.250 0.447
K7 K 0.750 0.250 0.947
K8 K 0.250 0.750 0.053
Ta1 Ta 0.250 0.750 0.293
Ta2 Ta 0.750 0.750 0.793
Ta3 Ta 0.750 0.250 0.707
Ta4 Ta 0.250 0.250 0.207
```

***

<Q>
Here is a relaxed structure of K2Ta from the Alexandria database. Energies are from PBE-GGA.

* magnetic moment: 0.00 μB per cell

The structure in CIF format:
```
data_K2Ta
_chemical_formula_sum 'K4 Ta2'
_cell_length_a 18.606
_cell_length_b 18.606
_cell_length_c 4.250
_cell_angle_alpha 90.00
_cell_angle_beta 90.00
_cell_angle_gamma 169.78
_space_group_name_H-M_alt 'P 1'
_space_group_IT_number 1
loop_
_space_group_symop_operation_xyz
'x,y,z'
loop_
_atom_site_label
_atom_site_type_symbol
_atom_site_fract_x
_atom_site_fract_y
_atom_site_fract_z
K1 K 0.663 0.337 0.750
K2 K 0.053 0.947 0.250
K3 K 0.947 0.053 0.750
K4 K 0.337 0.663 0.250
Ta1 Ta 0.746 0.254 0.250
Ta2 Ta 0.254 0.746 0.750
```

***

Result of the stability comparison: <P> is the least stable of them.

***

<P>
Here is a relaxed structure of KCuMo2 from the Alexandria database. Energies are from PBE-GGA.

* magnetic moment: 0.00 μB per cell

The structure in CIF format:
```
data_KCuMo2
_chemical_formula_sum 'K1 Cu1 Mo2'
_cell_length_a 3.207
_cell_length_b 3.219
_cell_length_c 8.841
_cell_angle_alpha 71.47
_cell_angle_beta 90.00
_cell_angle_gamma 90.00
_space_group_name_H-M_alt 'P 1'
_space_group_IT_number 1
loop_
_space_group_symop_operation_xyz
'x,y,z'
loop_
_atom_site_label
_atom_site_type_symbol
_atom_site_fract_x
_atom_site_fract_y
_atom_site_fract_z
Mo1 Mo 0.000 0.934 0.095
Mo2 Mo 0.500 0.210 0.250
Cu1 Cu 0.000 0.561 0.426
K1 K 0.500 0.795 0.730
```

***

<Q>
Here is a relaxed structure of KCuMo2 from the Alexandria database. Energies are from PBE-GGA.

* magnetic moment: 0.00 μB per cell

The structure in CIF format:
```
data_KCuMo2
_chemical_formula_sum 'K2 Cu2 Mo4'
_cell_length_a 4.300
_cell_length_b 4.300
_cell_length_c 10.510
_cell_angle_alpha 78.19
_cell_angle_beta 78.19
_cell_angle_gamma 90.00
_space_group_name_H-M_alt 'P 1'
_space_group_IT_number 1
loop_
_space_group_symop_operation_xyz
'x,y,z'
loop_
_atom_site_label
_atom_site_type_symbol
_atom_site_fract_x
_atom_site_fract_y
_atom_site_fract_z
Mo1 Mo 0.775 0.625 0.250
Mo2 Mo 0.975 0.125 0.250
Mo3 Mo 0.375 0.025 0.750
Mo4 Mo 0.875 0.225 0.750
Cu1 Cu 0.750 0.250 0.500
Cu2 Cu 0.000 0.000 0.000
K1 K 0.500 0.500 0.000
K2 K 0.250 0.750 0.500
```

***

Result of the stability comparison: <Q> is the least stable of them.

***

<P>
Here is a relaxed structure of Li2ZrTa from the Alexandria database. Energies are from PBE-GGA.

* magnetic moment: 0.00 μB per cell

The structure in CIF format:
```
data_Li2ZrTa
_chemical_formula_sum 'Li2 Zr1 Ta1'
_cell_length_a 5.438
_cell_length_b 5.438
_cell_length_c 2.792
_cell_angle_alpha 90.00
_cell_angle_beta 90.00
_cell_angle_gamma 118.16
_space_group_name_H-M_alt 'P 1'
_space_group_IT_number 1
loop_
_space_group_symop_operation_xyz
'x,y,z'
loop_
_atom_site_label
_atom_site_type_symbol
_atom_site_fract_x
_atom_site_fract_y
_atom_site_fract_z
Zr1 Zr 0.000 0.500 0.500
Li1 Li 0.000 0.000 0.000
Li2 Li 0.500 0.500 0.000
Ta1 Ta 0.500 0.000 0.500
```

***

<Q>
Here is a relaxed structure of Li2ZrTa from the Alexandria database. Energies are from PBE-GGA.

* magnetic moment: 0.00 μB per cell

The structure in CIF format:
```
data_Li2ZrTa
_chemical_formula_sum 'Li2 Zr1 Ta1'
_cell_length_a 2.909
_cell_length_b 2.909
_cell_length_c 9.298
_cell_angle_alpha 90.00
_cell_angle_beta 90.00
_cell_angle_gamma 90.00
_space_group_name_H-M_alt 'P 1'
_space_group_IT_number 1
loop_
_space_group_symop_operation_xyz
'x,y,z'
loop_
_atom_site_label
_atom_site_type_symbol
_atom_site_fract_x
_atom_site_fract_y
_atom_site_fract_z
Li1 Li 0.500 0.500 0.253
Li2 Li 0.000 0.000 0.014
Zr1 Zr 0.500 0.500 0.736
Ta1 Ta 0.000 0.000 0.497
```

***

Result of the stability comparison: <P> is the least stable of them.

***

<P>
Here is a relaxed structure of HgTeW2 from the Alexandria database. Energies are from PBE-GGA.

* magnetic moment: 0.00 μB per cell

The structure in CIF format:
```
data_HgTeW2
_chemical_formula_sum 'Hg1 Te1 W2'
_cell_length_a 5.168
_cell_length_b 5.168
_cell_length_c 5.168
_cell_angle_alpha 131.66
_cell_angle_beta 131.66
_cell_angle_gamma 70.76
_space_group_name_H-M_alt 'P 1'
_space_group_IT_number 1
loop_
_space_group_symop_operation_xyz
'x,y,z'
loop_
_atom_site_label
_atom_site_type_symbol
_atom_site_fract_x
_atom_site_fract_y
_atom_site_fract_z
W1 W 0.250 0.750 0.500
W2 W 0.000 0.000 0.000
Te1 Te 0.750 0.250 0.500
Hg1 Hg 0.500 0.500 0.000
```

***

<Q>
Here is a relaxed structure of HgTeW2 from the Alexandria database. Energies are from PBE-GGA.

* magnetic moment: 0.00 μB per cell

The structure in CIF format:
```
data_HgTeW2
_chemical_formula_sum 'Hg1 Te1 W2'
_cell_length_a 3.321
_cell_length_b 4.848
_cell_length_c 4.780
_cell_angle_alpha 90.00
_cell_angle_beta 90.00
_cell_angle_gamma 90.00
_space_group_name_H-M_alt 'P 1'
_space_group_IT_number 1
loop_
_space_group_symop_operation_xyz
'x,y,z'
loop_
_atom_site_label
_atom_site_type_symbol
_atom_site_fract_x
_atom_site_fract_y
_atom_site_fract_z
W1 W 0.500 0.500 0.000
W2 W 0.000 0.000 0.000
Hg1 Hg 0.500 0.000 0.500
Te1 Te 0.000 0.500 0.500
```

***

Result of the stability comparison: <Q> is the least stable of them.